The following is a DFT calculation (PBE-GGA) of a geometry-optimized KTl5F6 structure.

Structure (CIF):
```
data_KTl5F6
_chemical_formula_sum 'K1 Tl5 F6'
_cell_length_a 6.9048
_cell_length_b 6.9048
_cell_length_c 6.8817
_cell_angle_alpha 99.45
_cell_angle_beta 99.45
_cell_angle_gamma 120.00
_space_group_name_H-M_alt 'P 1'
_space_group_IT_number 1
loop_
_space_group_symop_operation_xyz
'x,y,z'
loop_
_atom_site_label
_atom_site_fract_x
_atom_site_fract_y
_atom_site_fract_z
F1 0.3966 0.0753 0.2343
Tl1 0.8341 0.1659 0.5000
F2 0.0753 0.3966 0.2343
F3 0.7720 0.7720 0.2639
F4 0.9247 0.6034 0.7657
F5 0.6034 0.9247 0.7657
Tl2 0.1659 0.8341 0.5000
F6 0.2280 0.2280 0.7361
K1 0.0000 0.0000 0.0000
Tl3 0.5000 0.5000 0.5000
Tl4 0.6691 0.3309 0.0000
Tl5 0.3309 0.6691 0.0000
```

Summary:
- SG = C2/m, No. 12
- spin magnetization (μB/f.u.) = 0.000
- formation energy (no corrections) (eV/atom) = -1.890
- final energy (eV/cell) = -46.8

---

The following is a DFT calculation (PBE-GGA) of a geometry-optimized CaY2Al2 structure.

Structure (CIF):
```
data_CaY2Al2
_chemical_formula_sum 'Ca2 Y4 Al4'
_cell_length_a 8.9156
_cell_length_b 8.9156
_cell_length_c 3.3743
_cell_angle_alpha 90.00
_cell_angle_beta 90.00
_cell_angle_gamma 90.00
_space_group_name_H-M_alt 'P 1'
_space_group_IT_number 1
loop_
_space_group_symop_operation_xyz
'x,y,z'
loop_
_atom_site_label
_atom_site_fract_x
_atom_site_fract_y
_atom_site_fract_z
Y1 0.8716 0.6284 0.0000
Al1 0.8275 0.3275 0.5000
Ca1 0.0000 0.0000 0.0000
Y2 0.6284 0.1284 0.0000
Y3 0.3716 0.8716 0.0000
Al2 0.6725 0.8275 0.5000
Al3 0.3275 0.1725 0.5000
Al4 0.1725 0.6725 0.5000
Y4 0.1284 0.3716 0.0000
Ca2 0.5000 0.5000 0.0000
```

Summary:
- SG = P4/mbm, No. 127
- relative energy among the computed polymorphs (eV per atom) = 0.089
- spin magnetization (μB/f.u.) = 0.000
- ΔE_f (meV per atom) = -203
- final energy (eV/cell) = -46.9